Sc4TlCr (PBE, relaxed); total moment = 3.85 μB per cell; formation energy = 0.427 eV per atom; SG = F-43m
1.0
0.0000 4.1141 4.1141
4.1141 0.0000 4.1141
4.1141 4.1141 0.0000
Sc Tl Cr
4 1 1
Direct
0.8773 0.3742 0.3742
0.3742 0.3742 0.8773
0.3742 0.8773 0.3742
0.3742 0.3742 0.3742
0.7500 0.7500 0.7500
0.0000 0.0000 0.0000

***

Nd4DyN4 (PBE, relaxed); total moment = 0.50 μB per cell; SG = C2/m; uncorrected formation energy = -1273 meV per atom
1.0
3.5126 0.0000 0.8302
1.4875 5.9253 1.5521
-0.0651 -0.0140 8.1213
Nd Dy N
4 1 4
Direct
0.7054 0.4016 0.1876
0.8948 0.8285 0.3820
0.2946 0.5984 0.8124
0.1052 0.1715 0.6180
0.5000 0.0000 0.0000
0.3063 0.0914 0.2960
0.6937 0.9086 0.7040
0.9010 0.2897 0.9084
0.0990 0.7103 0.0916

***

VTc5Ge6 (PBE, relaxed); total moment = 1.02 μB per cell; formation energy = -0.059 eV per atom; SG = P-1
1.0
7.5089 0.4428 0.0079
2.2602 3.6766 0.0052
1.1366 1.8432 6.5312
V Tc Ge
1 5 6
Direct
0.0000 0.0000 0.0000
0.4999 0.1673 0.6652
0.0001 0.3410 0.3183
0.5000 0.5000 0.0000
0.9999 0.6590 0.6817
0.5001 0.8327 0.3348
0.7465 0.0848 0.3380
0.2535 0.5777 0.3381
0.2582 0.2415 0.0000
0.7418 0.7585 0.0000
0.7465 0.4223 0.6619
0.2535 0.9152 0.6620

***

KRhPbO4 (PBE, relaxed); total moment = 0.00 μB per cell; SG = Imma; uncorrected formation energy = -1038 meV per atom
1.0
-2.5278 -3.0969 -5.0610
-2.9149 -0.8509 6.0858
-0.4871 6.1527 -3.5216
K Rh Pb O
2 2 2 8
Direct
0.8589 0.7177 0.1089
0.1411 0.2823 0.8911
0.5000 0.5000 0.5000
0.0000 0.5000 0.5000
0.5000 0.0000 0.5000
0.5000 0.0000 0.0000
0.7394 0.4787 0.6713
0.3080 0.0798 0.2899
0.7718 0.0798 0.2899
0.7394 0.4787 0.3074
0.2606 0.5213 0.6926
0.6920 0.9202 0.7101
0.2282 0.9202 0.7101
0.2606 0.5213 0.3287

***

AcPm6Y8 (PBE, relaxed); total moment = 0.00 μB per cell; distance to the lowest polymorph of the same formula = 0.829 eV per formula unit; formation energy = 0.218 eV per atom; SG = R-3
1.0
8.0753 0.3356 2.2091
1.7715 7.8857 2.2091
0.4019 0.3356 8.3623
Ac Pm Y
1 6 8
Direct
0.0000 0.0000 0.0000
0.6164 0.4313 0.1698
0.1698 0.6164 0.4313
0.4313 0.1698 0.6164
0.3836 0.5687 0.8302
0.8302 0.3836 0.5687
0.5687 0.8302 0.3836
0.2342 0.2342 0.2342
0.7658 0.7658 0.7658
0.0574 0.3852 0.8604
0.8604 0.0574 0.3852
0.3852 0.8604 0.0574
0.9426 0.6148 0.1396
0.1396 0.9426 0.6148
0.6148 0.1396 0.9426